P.
The following is a DFT calculation (meta-GGA SCAN) of a PBEsol-optimized structure of BaTcNi2.

Cell lengths 4.838, 4.838, 2.879 Å; angles 90.00, 90.00, 90.00 degrees
Atoms (fractional coordinates):
Ba  0.000  0.000  0.000
Tc  0.500  0.500  0.000
Ni  0.000  0.500  0.500
Ni  0.500  0.000  0.500

Output
- D(E_F): 3.09 states/eV/cell
- M_tot: 0.56 μB per atom

Q.
The following is a DFT calculation (meta-GGA SCAN) of a PBEsol-optimized structure of BaTcNi2.

Cell lengths 4.626, 4.626, 4.626 Å; angles 60.00, 60.00, 60.00 degrees
Atoms (fractional coordinates):
Ba  0.000  0.000  0.000
Tc  0.500  0.500  0.500
Ni  0.250  0.250  0.250
Ni  0.750  0.750  0.750

Output
- D(E_F): 3.11 states/eV/cell
- M_tot: 0.85 μB per atom

Stability check: which of them is least stable? Q.

P.
The following is a DFT calculation (meta-GGA SCAN) of a PBEsol-optimized structure of BaYNi2.

Cell lengths 3.501, 3.501, 7.114 Å; angles 90.00, 90.00, 90.00 degrees
Atoms (fractional coordinates):
Ba  0.000  0.000  0.000
Y  0.000  0.000  0.500
Ni  0.500  0.500  0.314
Ni  0.500  0.500  0.686

Output
- D(E_F): 2.03 states/eV/cell
- M_tot: 0.00 μB per atom

Q.
The following is a DFT calculation (meta-GGA SCAN) of a PBEsol-optimized structure of BaYNi2.

Cell lengths 4.058, 4.058, 5.771 Å; angles 90.00, 90.00, 90.00 degrees
Atoms (fractional coordinates):
Ba  0.000  0.000  0.000
Y  0.500  0.500  0.502
Ni  0.000  0.000  0.499
Ni  0.500  0.500  0.003

Output
- D(E_F): 1.78 states/eV/cell
- M_tot: 0.00 μB per atom

R.
The following is a DFT calculation (meta-GGA SCAN) of a PBEsol-optimized structure of BaYNi2.

Cell lengths 4.943, 4.943, 4.943 Å; angles 120.10, 119.89, 90.01 degrees
Atoms (fractional coordinates):
Ba  0.000  0.000  0.000
Y  0.500  0.500  0.000
Ni  0.252  0.752  0.500
Ni  0.748  0.248  0.500

Output
- D(E_F): 2.08 states/eV/cell
- M_tot: 0.00 μB per atom

Stability check: which of them is least stable? Q.

P.
The following is a DFT calculation (meta-GGA SCAN) of a PBEsol-optimized structure of BaY2Ni.

Cell lengths 3.877, 5.282, 5.320 Å; angles 90.00, 90.00, 90.00 degrees
Atoms (fractional coordinates):
Ba  0.000  0.000  0.000
Y  0.000  0.500  0.500
Y  0.500  0.000  0.500
Ni  0.500  0.500  0.000

Output
- D(E_F): 3.59 states/eV/cell
- M_tot: 0.03 μB per atom

Q.
The following is a DFT calculation (meta-GGA SCAN) of a PBEsol-optimized structure of BaY2Ni.

Cell lengths 6.606, 6.606, 6.606 Å; angles 148.72, 127.51, 62.38 degrees
Atoms (fractional coordinates):
Ba  0.000  0.000  0.000
Y  0.319  0.819  0.500
Y  0.681  0.181  0.500
Ni  0.500  0.500  0.000

Output
- D(E_F): 4.08 states/eV/cell
- M_tot: 0.02 μB per atom

Stability check: which of them is least stable? P.

P.
The following is a DFT calculation (meta-GGA SCAN) of a PBEsol-optimized structure of Ba2ZrNi.

Cell lengths 3.839, 5.277, 5.304 Å; angles 90.00, 90.00, 90.00 degrees
Atoms (fractional coordinates):
Ba  0.000  0.000  0.000
Ba  0.500  0.500  0.000
Zr  0.000  0.500  0.500
Ni  0.500  0.000  0.500

Output
- D(E_F): 3.94 states/eV/cell
- M_tot: 0.00 μB per atom

Q.
The following is a DFT calculation (meta-GGA SCAN) of a PBEsol-optimized structure of Ba2ZrNi.

Cell lengths 6.819, 6.819, 6.819 Å; angles 149.00, 129.76, 60.21 degrees
Atoms (fractional coordinates):
Ba  0.000  0.000  0.000
Ba  0.696  0.196  0.500
Zr  0.377  0.377  0.000
Ni  0.240  0.740  0.500

Output
- D(E_F): 5.54 states/eV/cell
- M_tot: 0.00 μB per atom

Stability check: which of them is least stable? P.

P.
The following is a DFT calculation (meta-GGA SCAN) of a PBEsol-optimized structure of Ba3SrTa2O9.

Cell lengths 5.942, 5.942, 7.571 Å; angles 90.00, 90.00, 120.00 degrees
Atoms (fractional coordinates):
Ba  0.000  0.000  0.000
Ba  0.333  0.667  0.691
Ba  0.667  0.333  0.309
Sr  0.000  0.000  0.500
Ta  0.333  0.667  0.164
Ta  0.667  0.333  0.836
O  0.000  0.500  0.000
O  0.177  0.354  0.300
O  0.177  0.823  0.300
O  0.354  0.177  0.700
O  0.500  0.000  0.000
O  0.500  0.500  0.000
O  0.646  0.823  0.300
O  0.823  0.177  0.700
O  0.823  0.646  0.700

Output
- D(E_F): 0.00 states/eV/cell
- M_tot: 0.00 μB per atom

Q.
The following is a DFT calculation (meta-GGA SCAN) of a PBEsol-optimized structure of Ba3SrTa2O9.

Cell lengths 5.997, 5.997, 15.879 Å; angles 90.00, 90.00, 120.00 degrees
Atoms (fractional coordinates):
Ba  0.000  0.000  0.250
Ba  0.000  0.000  0.750
Ba  0.333  0.667  0.125
Ba  0.333  0.667  0.375
Ba  0.667  0.333  0.625
Ba  0.667  0.333  0.875
Sr  0.000  0.000  0.000
Sr  0.000  0.000  0.500
Ta  0.333  0.667  0.657
Ta  0.333  0.667  0.843
Ta  0.667  0.333  0.157
Ta  0.667  0.333  0.343
O  0.034  0.517  0.750
O  0.172  0.344  0.602
O  0.172  0.344  0.898
O  0.172  0.828  0.602
O  0.172  0.828  0.898
O  0.344  0.172  0.102
O  0.344  0.172  0.398
O  0.483  0.517  0.750
O  0.483  0.966  0.750
O  0.517  0.034  0.250
O  0.517  0.483  0.250
O  0.656  0.828  0.602
O  0.656  0.828  0.898
O  0.828  0.172  0.102
O  0.828  0.172  0.398
O  0.828  0.656  0.102
O  0.828  0.656  0.398
O  0.966  0.483  0.250

Output
- D(E_F): 0.00 states/eV/cell
- M_tot: 0.00 μB per atom

Stability check: which of them is least stable? Q.

P.
The following is a DFT calculation (meta-GGA SCAN) of a PBEsol-optimized structure of Ba4Ta2O9.

Cell lengths 6.077, 6.077, 16.546 Å; angles 90.00, 90.00, 120.00 degrees
Atoms (fractional coordinates):
Ba  0.000  0.000  0.000
Ba  0.000  0.000  0.250
Ba  0.000  0.000  0.500
Ba  0.000  0.000  0.750
Ba  0.333  0.667  0.135
Ba  0.333  0.667  0.365
Ba  0.667  0.333  0.635
Ba  0.667  0.333  0.865
Ta  0.333  0.667  0.660
Ta  0.333  0.667  0.840
Ta  0.667  0.333  0.160
Ta  0.667  0.333  0.340
O  0.045  0.473  0.750
O  0.107  0.753  0.609
O  0.107  0.753  0.891
O  0.247  0.354  0.609
O  0.247  0.354  0.891
O  0.354  0.107  0.109
O  0.354  0.107  0.391
O  0.428  0.955  0.750
O  0.473  0.428  0.250
O  0.527  0.572  0.750
O  0.572  0.045  0.250
O  0.646  0.893  0.609
O  0.646  0.893  0.891
O  0.753  0.646  0.109
O  0.753  0.646  0.391
O  0.893  0.247  0.109
O  0.893  0.247  0.391
O  0.955  0.527  0.250

Output
- D(E_F): 0.00 states/eV/cell
- M_tot: 0.00 μB per atom

Q.
The following is a DFT calculation (meta-GGA SCAN) of a PBEsol-optimized structure of Ba4Ta2O9.

Cell lengths 5.921, 5.921, 16.218 Å; angles 90.42, 90.42, 61.07 degrees
Atoms (fractional coordinates):
Ba  0.000  0.000  0.000
Ba  0.000  0.000  0.500
Ba  0.013  0.987  0.750
Ba  0.320  0.349  0.385
Ba  0.349  0.320  0.885
Ba  0.651  0.680  0.115
Ba  0.680  0.651  0.615
Ba  0.987  0.013  0.250
Ta  0.319  0.344  0.169
Ta  0.344  0.319  0.669
Ta  0.656  0.681  0.331
Ta  0.681  0.656  0.831
O  0.019  0.461  0.744
O  0.092  0.251  0.114
O  0.170  0.599  0.596
O  0.188  0.677  0.120
O  0.251  0.092  0.614
O  0.323  0.812  0.380
O  0.401  0.830  0.904
O  0.461  0.019  0.244
O  0.475  0.525  0.750
O  0.525  0.475  0.250
O  0.539  0.981  0.756
O  0.599  0.170  0.096
O  0.677  0.188  0.620
O  0.749  0.908  0.386
O  0.812  0.323  0.880
O  0.830  0.401  0.404
O  0.908  0.749  0.886
O  0.981  0.539  0.256

Output
- D(E_F): 0.00 states/eV/cell
- M_tot: 0.00 μB per atom

Stability check: which of them is least stable? Q.

P.
The following is a DFT calculation (meta-GGA SCAN) of a PBEsol-optimized structure of Ba4Ta2TiZnO12.

Cell lengths 5.733, 5.733, 8.134 Å; angles 90.00, 90.00, 90.00 degrees
Atoms (fractional coordinates):
Ba  0.000  0.500  0.241
Ba  0.000  0.500  0.759
Ba  0.500  0.000  0.241
Ba  0.500  0.000  0.759
Ta  0.000  0.000  0.000
Ta  0.500  0.500  0.500
Ti  0.000  0.000  0.500
Zn  0.500  0.500  0.000
O  0.000  0.000  0.255
O  0.000  0.000  0.745
O  0.242  0.242  0.000
O  0.242  0.758  0.000
O  0.248  0.248  0.500
O  0.248  0.752  0.500
O  0.500  0.500  0.262
O  0.500  0.500  0.738
O  0.752  0.248  0.500
O  0.752  0.752  0.500
O  0.758  0.242  0.000
O  0.758  0.758  0.000

Output
- D(E_F): 0.00 states/eV/cell
- M_tot: 0.00 μB per atom

Q.
The following is a DFT calculation (meta-GGA SCAN) of a PBEsol-optimized structure of Ba4Ta2TiZnO12.

Cell lengths 9.974, 9.974, 9.974 Å; angles 132.11, 132.11, 70.06 degrees
Atoms (fractional coordinates):
Ba  0.000  0.243  0.243
Ba  0.000  0.757  0.757
Ba  0.243  0.000  0.743
Ba  0.243  0.500  0.243
Ba  0.500  0.243  0.743
Ba  0.500  0.757  0.257
Ba  0.757  0.000  0.257
Ba  0.757  0.500  0.757
Ta  0.127  0.377  0.750
Ta  0.377  0.127  0.250
Ta  0.623  0.873  0.750
Ta  0.873  0.623  0.250
Ti  0.375  0.625  0.750
Ti  0.625  0.375  0.250
Zn  0.125  0.875  0.250
Zn  0.875  0.125  0.750
O  0.009  0.259  0.750
O  0.124  0.622  0.502
O  0.130  0.138  0.508
O  0.130  0.621  0.992
O  0.138  0.130  0.008
O  0.255  0.505  0.750
O  0.259  0.009  0.250
O  0.378  0.381  0.502
O  0.378  0.876  0.998
O  0.379  0.870  0.508
O  0.381  0.378  0.002
O  0.495  0.745  0.750
O  0.505  0.255  0.250
O  0.619  0.622  0.998
O  0.621  0.130  0.492
O  0.622  0.124  0.002
O  0.622  0.619  0.498
O  0.741  0.991  0.750
O  0.745  0.495  0.250
O  0.862  0.870  0.992
O  0.870  0.379  0.008
O  0.870  0.862  0.492
O  0.876  0.378  0.498
O  0.991  0.741  0.250

Output
- D(E_F): 0.00 states/eV/cell
- M_tot: 0.00 μB per atom

Stability check: which of them is least stable? P.

P.
The following is a DFT calculation (meta-GGA SCAN) of a PBEsol-optimized structure of Ba2TeO.

Cell lengths 5.033, 5.033, 9.988 Å; angles 90.00, 90.00, 90.00 degrees
Atoms (fractional coordinates):
Ba  0.250  0.250  0.165
Ba  0.250  0.750  0.500
Ba  0.750  0.250  0.500
Ba  0.750  0.750  0.835
Te  0.250  0.250  0.798
Te  0.750  0.750  0.202
O  0.250  0.250  0.411
O  0.750  0.750  0.589

Output
- D(E_F): 0.00 states/eV/cell
- M_tot: 0.00 μB per atom

Q.
The following is a DFT calculation (meta-GGA SCAN) of a PBEsol-optimized structure of Ba2TeO.

Cell lengths 6.992, 6.992, 6.992 Å; angles 112.70, 112.70, 103.19 degrees
Atoms (fractional coordinates):
Ba  0.034  0.625  0.909
Ba  0.375  0.284  0.409
Ba  0.716  0.125  0.091
Ba  0.875  0.966  0.591
Te  0.250  0.750  0.500
Te  0.500  0.500  0.000
O  0.000  0.000  0.000
O  0.750  0.250  0.500

Output
- D(E_F): 0.00 states/eV/cell
- M_tot: 0.00 μB per atom

Stability check: which of them is least stable? Q.